! KMgHgBr5 PBE-GGA relaxed; values from VASP
&SYSTEM
  ibrav = 0, nat = 16, ntyp = 4
/
ATOMIC_SPECIES
K 39.10 K.upf
Mg 24.30 Mg.upf
Hg 200.59 Hg.upf
Br 79.90 Br.upf
CELL_PARAMETERS angstrom
4.634 -6.283 0.000
4.634 6.283 0.000
-3.801 0.000 9.343
ATOMIC_POSITIONS crystal
K 0.162 0.838 0.750
K 0.838 0.162 0.250
Mg 0.500 0.500 0.000
Mg 0.500 0.500 0.500
Hg 0.184 0.816 0.250
Hg 0.816 0.184 0.750
Br 0.140 0.250 0.950
Br 0.189 0.586 0.409
Br 0.250 0.140 0.450
Br 0.414 0.811 0.091
Br 0.432 0.568 0.750
Br 0.568 0.432 0.250
Br 0.586 0.189 0.909
Br 0.750 0.860 0.550
Br 0.811 0.414 0.591
Br 0.860 0.750 0.050
! - Energy: -40.92 eV per cell
! - ΔE_f (raw): -1.138 eV/atom